DFT (PBEsol) results for crystalline Cu5Rh4 at its relaxed geometry.

Fermi-level density of states	10.0	states/eV/cell
electronic total energy	-5.938	eV/atom
energy relative to the elements	0.09	eV per atom

Lattice parameters (Å, degrees): 5.766 5.766 5.766 96.10 96.10 141.95
Sites, in units of the cell vectors:
Cu (0.000, 0.000, 0.000)
Cu (0.336, 0.336, 0.672)
Cu (0.336, 0.664, 0.000)
Cu (0.664, 0.336, 0.000)
Cu (0.664, 0.664, 0.328)
Rh (0.000, 0.331, 0.331)
Rh (0.000, 0.669, 0.669)
Rh (0.331, 0.000, 0.331)
Rh (0.669, 0.000, 0.669)